Below is crystalline KSc3H at its relaxed geometry, with properties calculated at the PBE-GGA level.

Cell lengths 4.8396, 4.8396, 4.8396 Å; angles 90.00, 90.00, 90.00 degrees
Last column: nearest neighbours and their distance in Å.
Element x y z (fractional)
K (0.0000, 0.0000, 0.0000)  12 Sc 3.42
Sc (0.0000, 0.5000, 0.5000)  2 H 2.42
Sc (0.5000, 0.0000, 0.5000)  2 H 2.42
Sc (0.5000, 0.5000, 0.0000)  2 H 2.42
H (0.5000, 0.5000, 0.5000)  6 Sc 2.42

Results
- V (Å³ per atom) = 22.67
- DFT total energy (eV/atom) = -4.262


Below is crystalline Nd2ZnRhO6 at its relaxed geometry, with properties calculated at the PBE-GGA level.

Cell lengths 5.4865, 5.8393, 9.5578 Å; angles 90.00, 124.96, 90.00 degrees
Last column: nearest neighbours and their distance in Å.
Element x y z (fractional)
Nd (0.2310, 0.0707, 0.2506)  6 O 2.36-2.59
Nd (0.2310, 0.4293, 0.7506)  6 O 2.36-2.59
Nd (0.7690, 0.5707, 0.2494)  6 O 2.36-2.59
Nd (0.7690, 0.9293, 0.7494)  6 O 2.36-2.59
Zn (0.5000, 0.0000, 0.0000)  6 O 2.07-2.14
Zn (0.5000, 0.5000, 0.5000)  6 O 2.07-2.14
Rh (0.0000, 0.0000, 0.5000)  6 O 2.03-2.05
Rh (0.0000, 0.5000, 0.0000)  6 O 2.03-2.05
O (0.1310, 0.2044, 0.9456)  1 Rh 2.05, 1 Zn 2.14
O (0.1310, 0.2956, 0.4456)  1 Rh 2.05, 1 Zn 2.14
O (0.2502, 0.6932, 0.9476)  1 Rh 2.05, 1 Zn 2.13
O (0.2502, 0.8068, 0.4476)  1 Rh 2.05, 1 Zn 2.13
O (0.3514, 0.0327, 0.7468)  1 Rh 2.03, 1 Zn 2.07
O (0.3514, 0.4673, 0.2468)  1 Rh 2.03, 1 Zn 2.07
O (0.6486, 0.5327, 0.7532)  1 Rh 2.03, 1 Zn 2.07
O (0.6486, 0.9673, 0.2532)  1 Rh 2.03, 1 Zn 2.07
O (0.7498, 0.1932, 0.5524)  1 Rh 2.05, 1 Zn 2.13
O (0.7498, 0.3068, 0.0524)  1 Rh 2.05, 1 Zn 2.13
O (0.8690, 0.7044, 0.5544)  1 Rh 2.05, 1 Zn 2.14
O (0.8690, 0.7956, 0.0544)  1 Rh 2.05, 1 Zn 2.14

Results
- V (Å³ per atom) = 12.55
- uncorrected formation energy (meV/atom) = -2191
- DFT total energy (eV/atom) = -6.983


Below is crystalline DyErI3 at its relaxed geometry, with properties calculated at the PBE-GGA level.

Cell lengths 10.6074, 10.6074, 11.2874 Å; angles 112.04, 112.04, 22.04 degrees
Last column: nearest neighbours and their distance in Å.
Element x y z (fractional)
Dy (0.0734, 0.0734, 0.2430)  4 I 3.04-3.05
Dy (0.9266, 0.9266, 0.7570)  4 I 3.04-3.05
Er (0.4293, 0.4293, 0.0294)  4 I 3.15-3.16, 1 Er 3.26
Er (0.5707, 0.5707, 0.9706)  4 I 3.15-3.16, 1 Er 3.26
I (0.0730, 0.0730, 0.7588)  1 Dy 3.04, 2 Er 3.15
I (0.1869, 0.1869, 0.1349)  1 Dy 3.05, 2 Er 3.16
I (0.3628, 0.3628, 0.5418)  2 Dy 3.05
I (0.6372, 0.6372, 0.4582)  2 Dy 3.05
I (0.8131, 0.8131, 0.8651)  1 Dy 3.05, 2 Er 3.16
I (0.9270, 0.9270, 0.2412)  1 Dy 3.04, 2 Er 3.15

Results
- V (Å³ per atom) = 44.04
- uncorrected formation energy (meV/atom) = -1091
- DFT total energy (eV/atom) = -3.854


Below is crystalline CaAlTe2 at its relaxed geometry, with properties calculated at the PBE-GGA level.

Cell lengths 5.3079, 5.3079, 3.8395 Å; angles 90.22, 90.22, 89.59 degrees
Last column: nearest neighbours and their distance in Å.
Element x y z (fractional)
Ca (0.0000, 0.0000, 0.0000)  8 Te 3.27-3.28
Al (0.5000, 0.5000, 0.0000)  8 Te 3.27-3.28
Te (0.0000, 0.5000, 0.5000)  4 Al 3.27-3.28, 4 Ca 3.27-3.28
Te (0.5000, 0.0000, 0.5000)  4 Al 3.27-3.28, 4 Ca 3.27-3.28

Results
- V (Å³ per atom) = 27.04
- uncorrected formation energy (meV/atom) = -580
- DFT total energy (eV/atom) = -3.587


Below is crystalline Tb14CePm at its relaxed geometry, with properties calculated at the PBE-GGA level.

Cell lengths 7.1350, 7.1350, 10.0778 Å; angles 90.00, 90.00, 90.00 degrees
Last column: nearest neighbours and their distance in Å.
Element x y z (fractional)
Tb (0.0000, 0.0000, 0.0000)  12 Tb 3.55-3.57
Tb (0.0000, 0.5000, 0.0000)  12 Tb 3.56-3.57
Tb (0.0000, 0.5000, 0.5000)  2 Pm 3.57, 2 Ce 3.57, 8 Tb 3.57
Tb (0.2484, 0.2484, 0.2495)  10 Tb 3.54-3.59, 1 Ce 3.56, 1 Pm 3.58
Tb (0.2484, 0.2484, 0.7505)  10 Tb 3.54-3.59, 1 Ce 3.56, 1 Pm 3.58
Tb (0.2484, 0.7516, 0.2495)  10 Tb 3.54-3.59, 1 Ce 3.56, 1 Pm 3.58
Tb (0.2484, 0.7516, 0.7505)  10 Tb 3.54-3.59, 1 Ce 3.56, 1 Pm 3.58
Tb (0.5000, 0.0000, 0.0000)  12 Tb 3.56-3.57
Tb (0.5000, 0.0000, 0.5000)  2 Pm 3.57, 2 Ce 3.57, 8 Tb 3.57
Tb (0.5000, 0.5000, 0.0000)  12 Tb 3.57
Tb (0.7516, 0.2484, 0.2495)  10 Tb 3.54-3.59, 1 Ce 3.56, 1 Pm 3.58
Tb (0.7516, 0.2484, 0.7505)  10 Tb 3.54-3.59, 1 Ce 3.56, 1 Pm 3.58
Tb (0.7516, 0.7516, 0.2495)  10 Tb 3.54-3.59, 1 Ce 3.56, 1 Pm 3.58
Tb (0.7516, 0.7516, 0.7505)  10 Tb 3.54-3.59, 1 Ce 3.56, 1 Pm 3.58
Ce (0.0000, 0.0000, 0.5000)  12 Tb 3.56-3.57
Pm (0.5000, 0.5000, 0.5000)  12 Tb 3.57-3.58

Results
- energy of formation (eV/atom) = 0.029
- V (Å³ per atom) = 32.06
- DFT total energy (eV/atom) = -4.691


Below is crystalline BaMnTlBr5 at its relaxed geometry, with properties calculated at the PBE-GGA level.

Cell lengths 8.2519, 8.2519, 11.2496 Å; angles 103.28, 103.28, 106.58 degrees
Last column: nearest neighbours and their distance in Å.
Element x y z (fractional)
Ba (0.0000, 0.0000, 0.0000)  6 Br 3.17-3.30
Ba (0.0000, 0.0000, 0.5000)  6 Br 3.17-3.30
Mn (0.3192, 0.6808, 0.7500)  4 Br 2.51
Mn (0.6808, 0.3192, 0.2500)  4 Br 2.51
Tl (0.3532, 0.6468, 0.2500)  5 Br 3.22-3.46
Tl (0.6468, 0.3532, 0.7500)  5 Br 3.22-3.46
Br (0.0689, 0.6529, 0.8448)  1 Mn 2.51
Br (0.1101, 0.8899, 0.2500)  2 Ba 3.17, 1 Tl 3.22
Br (0.2790, 0.4112, 0.5713)  1 Mn 2.51
Br (0.3471, 0.9311, 0.6552)  1 Mn 2.51
Br (0.4112, 0.2790, 0.0713)  1 Mn 2.51
Br (0.5888, 0.7210, 0.9287)  1 Mn 2.51
Br (0.6529, 0.0689, 0.3448)  1 Mn 2.51
Br (0.7210, 0.5888, 0.4287)  1 Mn 2.51
Br (0.8899, 0.1101, 0.7500)  2 Ba 3.17, 1 Tl 3.22
Br (0.9311, 0.3471, 0.1552)  1 Mn 2.51

Results
- V (Å³ per atom) = 42.36
- uncorrected formation energy (meV/atom) = -1306
- DFT total energy (eV/atom) = -4.033